Material: AcPmPr4Dy2
Method: DFT, PBE-GGA
State: optimized geometry

Computed properties:
uncorrected energy	-4.618	eV/atom
formation enthalpy at 0 K	0.030	eV/atom
mass density	7.303	g/cm³

abc: 11.6816 5.2341 10.5047
angles: 90.00 116.80 90.00
Space group C2/m (No. 12)
Asymmetric unit:
Ac: 0.0000 0.0000 0.0000 x2
Pm: 0.0000 0.0000 0.5000 x2
Pr: 0.2476 0.0000 0.8702 x4
Pr: 0.2489 0.5000 0.6221 x4
Dy: 0.0008 0.5000 0.7448 x4



Material: SnHIr
Method: DFT, PBE-GGA
State: optimized geometry

Computed properties:
energy above the lowest structure with this stoichiometry	11	meV/atom
uncorrected energy	-5.393	eV/atom
mass density	9.396	g/cm³

abc: 5.6509 3.1342 6.2255
angles: 90.00 90.42 90.00
Space group P2/m (No. 10)
Asymmetric unit:
Sn: 0.0014 0.0000 0.2683 x2
H: 0.4980 0.5000 0.8231 x2
Ir: 0.2562 0.5000 0.0007 x2